[1]
A plane-wave DFT calculation with PBE was carried out for ReNiIr2 after structural relaxation.

Results
Density of states at the Fermi level (states/eV per atom): 0.844
Energy relative to the lowest polymorph listed for this composition (meV/atom): 411
Magnetic moment (μB per formula unit): 0.99
Energy of formation (eV per atom): 0.27
Calculated total energy (eV per cell): -34.9
SG: Fm-3m, No. 225
Crystal system: cubic

Lattice parameters (Å, degrees): 4.3093 4.3093 4.3093 60.00 60.00 60.00
Closest atoms and distances in Å follow each position.
Fractional positions:
Re (0.0000, 0.0000, 0.0000)  8 Ir 2.64
Ni (0.5000, 0.5000, 0.5000)  8 Ir 2.64
Ir (0.2500, 0.2500, 0.2500)  4 Re 2.64, 4 Ni 2.64
Ir (0.7500, 0.7500, 0.7500)  4 Ni 2.64, 4 Re 2.64



[2]
A plane-wave DFT calculation with PBE was carried out for BeFeCo2 after structural relaxation.

Results
Density of states at the Fermi level (states/eV per atom): 0.557
Magnetic moment (μB per formula unit): 4.86
Energy of formation (eV per atom): -0.16
Calculated total energy (eV per cell): -27.0
SG: P4/mmm, No. 123
Crystal system: tetragonal

Lattice parameters (Å, degrees): 2.7559 2.7559 5.3383 90.00 90.00 90.00
Closest atoms and distances in Å follow each position.
Fractional positions:
Be (0.0000, 0.0000, 0.0000)  8 Co 2.31
Fe (0.0000, 0.0000, 0.5000)  8 Co 2.41, 2 Be 2.67
Co (0.5000, 0.5000, 0.2329)  4 Be 2.31, 4 Fe 2.41, 1 Co 2.49
Co (0.5000, 0.5000, 0.7671)  4 Be 2.31, 4 Fe 2.41, 1 Co 2.49



[3]
A plane-wave DFT calculation with PBE was carried out for Ce3Ge4Ir2 after structural relaxation.

Results
Density of states at the Fermi level (states/eV per atom): 0.812
Energy relative to the lowest polymorph listed for this composition (meV/atom): 0
Magnetic moment (μB per formula unit): 0.32
Energy of formation (eV per atom): -0.81
Calculated total energy (eV per cell): -61.2
SG: C2/m, No. 12
Crystal system: monoclinic

Lattice parameters (Å, degrees): 5.9149 5.9149 8.2816 104.45 104.45 42.92
Closest atoms and distances in Å follow each position.
Fractional positions:
Ce (0.0000, 0.0000, 0.0000)  8 Ge 2.98-3.30, 4 Ir 3.21
Ce (0.3254, 0.3254, 0.3463)  3 Ir 2.92-3.13, 8 Ge 3.15-3.25
Ce (0.6746, 0.6746, 0.6537)  3 Ir 2.92-3.13, 8 Ge 3.15-3.25
Ge (0.0370, 0.0370, 0.3705)  2 Ir 2.48, 1 Ge 2.49
Ge (0.2858, 0.2858, 0.9451)  1 Ir 2.48, 2 Ge 2.55
Ge (0.7142, 0.7142, 0.0549)  1 Ir 2.48, 2 Ge 2.55
Ge (0.9630, 0.9630, 0.6295)  2 Ir 2.48, 1 Ge 2.49
Ir (0.3877, 0.3877, 0.7125)  3 Ge 2.48
Ir (0.6123, 0.6123, 0.2875)  3 Ge 2.48



[4]
A plane-wave DFT calculation with PBE was carried out for LaSe3 after structural relaxation.

Results
Density of states at the Fermi level (states/eV per atom): 1.143
Magnetic moment (μB per formula unit): 0.00
Calculated total energy (eV per cell): -19.0
E_form (uncorrected) (meV per atom): -911
SG: P-6m2, No. 187
Crystal system: hexagonal

Lattice parameters (Å, degrees): 4.9894 4.9894 6.0003 90.00 90.00 120.00
Closest atoms and distances in Å follow each position.
Fractional positions:
La (0.0000, 0.0000, 0.0000)  8 Se 3.00-3.13
Se (0.0000, 0.0000, 0.5000)  2 La 3.00
Se (0.6667, 0.3333, 0.2041)  1 Se 2.45
Se (0.6667, 0.3333, 0.7959)  1 Se 2.45



[5]
A plane-wave DFT calculation with PBE was carried out for DyAl2Ga after structural relaxation.

Results
Density of states at the Fermi level (states/eV per atom): 0.315
Magnetic moment (μB per formula unit): 0.00
Energy of formation (eV per atom): -0.45
Calculated total energy (eV per cell): -16.9
SG: P4/mmm, No. 123
Crystal system: tetragonal

Lattice parameters (Å, degrees): 4.2299 4.2299 4.3167 90.00 90.00 90.00
Closest atoms and distances in Å follow each position.
Fractional positions:
Dy (0.0000, 0.0000, 0.0000)  4 Ga 2.99, 8 Al 3.02
Al (0.0000, 0.5000, 0.5000)  4 Al 2.99, 4 Dy 3.02, 4 Ga 3.02
Al (0.5000, 0.0000, 0.5000)  4 Al 2.99, 4 Dy 3.02, 4 Ga 3.02
Ga (0.5000, 0.5000, 0.0000)  4 Dy 2.99, 8 Al 3.02



[6]
A plane-wave DFT calculation with PBE was carried out for Pm2Y3TmAs6 after structural relaxation.

Results
Density of states at the Fermi level (states/eV per atom): 0.154
Magnetic moment (μB per formula unit): 0.00
Energy of formation (eV per atom): -1.53
Calculated total energy (eV per cell): -79.6
SG: C2/m, No. 12
Crystal system: monoclinic

Lattice parameters (Å, degrees): 9.2852 9.2852 8.3039 102.91 102.91 25.86
Closest atoms and distances in Å follow each position.
Fractional positions:
Pm (0.1657, 0.1657, 0.3319)  6 As 2.95-2.98
Pm (0.8343, 0.8343, 0.6681)  6 As 2.95-2.98
Y (0.1672, 0.1672, 0.8339)  6 As 2.91-2.95
Y (0.5000, 0.5000, 0.5000)  6 As 2.91-2.96
Y (0.8328, 0.8328, 0.1661)  6 As 2.91-2.95
Tm (0.5000, 0.5000, 0.0000)  6 As 2.91-2.92
As (0.0020, 0.0020, 0.7543)  3 Y 2.91-2.96, 2 Tm 2.92, 1 Pm 2.95
As (0.3348, 0.3348, 0.4130)  3 Y 2.91, 3 Pm 2.97-2.98
As (0.3348, 0.3348, 0.9223)  3 Y 2.91-2.95, 1 Tm 2.91, 2 Pm 2.96
As (0.6652, 0.6652, 0.0777)  3 Y 2.91-2.95, 1 Tm 2.91, 2 Pm 2.96
As (0.6652, 0.6652, 0.5870)  3 Y 2.91, 3 Pm 2.97-2.98
As (0.9980, 0.9980, 0.2457)  3 Y 2.91-2.96, 2 Tm 2.92, 1 Pm 2.95